(1)
Sm12DyEr2 | Alexandria via LeMat-Bulk | PBE-GGA | relaxed; DOS at the Fermi energy = 23.06 states/eV/f.u.; formation energy = 0.164 eV per atom; E = -135.8 eV for the cell shown
1.0
6.5856 -1.5371 0.0001
-1.5371 6.5856 0.0001
0.0002 0.0002 24.7500
Er Sm Dy
4 24 2
direct
0.5000 0.0000 0.2658
0.0000 0.5000 0.2697
0.0000 0.5000 0.7342
0.5000 0.0000 0.7303
0.7512 0.7488 0.9246
0.2490 0.7490 0.1295
0.2729 0.2271 0.5603
0.7509 0.2509 0.1295
0.7271 0.7729 0.5603
0.5000 0.5000 0.8010
0.2677 0.7677 0.4136
0.2510 0.7510 0.8705
0.7323 0.2323 0.4136
0.2323 0.7323 0.5864
0.2271 0.2729 0.4397
0.7488 0.7512 0.0754
0.5000 0.5000 0.6753
0.2488 0.2512 0.9246
0.5000 0.5000 0.3247
0.0000 0.0000 0.1990
0.7677 0.2677 0.5864
0.7491 0.2491 0.8705
0.0000 0.0000 0.8010
0.0000 0.0000 0.6753
0.2512 0.2488 0.0754
0.7729 0.7271 0.4397
0.0000 0.0000 0.3247
0.5000 0.5000 0.1990
0.0000 0.5000 0.0006
0.5000 0.0000 0.9994

---

(2)
Cs3Ca2InI9 | Alexandria via LeMat-Bulk | PBE-GGA | relaxed; DOS at the Fermi energy = 4.77 states/eV/f.u.; uncorrected formation energy = -1331 meV per atom; E = -43.2 eV for the cell shown
1.0
-2.9923 -5.6079 6.0852
0.0011 -2.3103 -8.4909
9.9417 -4.0944 1.1154
Cs I Ca In
3 9 2 1
direct
0.3333 0.6667 0.6580
0.6667 0.3333 0.3420
0.0000 0.0000 0.0000
0.1684 0.8316 0.3364
0.5000 0.0000 0.0000
0.0000 0.5000 0.0000
0.5000 0.5000 0.0000
0.6632 0.8316 0.3364
0.3368 0.1684 0.6636
0.8316 0.6632 0.6636
0.8316 0.1684 0.6636
0.1684 0.3368 0.3364
0.3333 0.6667 0.1636
0.6667 0.3333 0.8364
0.0000 0.0000 0.5000

---

(3)
PrTiNbIr2 | Alexandria via LeMat-Bulk | PBE-GGA | relaxed; DOS at the Fermi energy = 3.28 states/eV/f.u.; formation energy = -0.678 eV per atom; E = -43.9 eV for the cell shown
1.0
-3.6793 -2.4094 0.3127
2.3737 -3.6857 -0.4701
1.2774 2.7776 5.3491
Ti Ir Nb Pr
1 2 1 1
direct
0.7500 0.2500 0.5000
0.3759 0.3759 0.7519
0.6241 0.6241 0.2481
0.2500 0.7500 0.5000
0.0000 0.0000 0.0000

---

(4)
CsRbTl4Bi2 | Alexandria via LeMat-Bulk | PBE-GGA | relaxed; DOS at the Fermi energy = 1.84 states/eV/f.u.; formation energy = -0.178 eV per atom; E = -20.5 eV for the cell shown
1.0
5.0250 0.0000 0.0000
0.0000 5.0250 0.0000
0.0000 0.0000 13.7214
Tl Bi Rb Cs
4 2 1 1
direct
0.5000 0.0000 0.2340
0.0000 0.5000 0.2340
0.0000 0.5000 0.7660
0.5000 0.0000 0.7660
0.5000 0.5000 0.3824
0.5000 0.5000 0.6176
0.0000 0.0000 0.5000
0.0000 0.0000 0.0000

---

(5)
Sc2AgTe | Alexandria via LeMat-Bulk | PBE-GGA | relaxed; DOS at the Fermi energy = 2.80 states/eV/f.u.; uncorrected formation energy = -472 meV per atom; E = -20.5 eV for the cell shown
1.0
5.2830 0.0009 0.0000
1.3258 5.1140 0.0000
-3.3044 -2.5575 3.2328
Sc Te Ag
2 1 1
direct
0.0000 0.0000 0.0000
0.5000 0.5000 0.0000
0.2500 0.7500 0.5000
0.7500 0.2500 0.5000

---

(6)
Na3AgOs | Alexandria via LeMat-Bulk | PBE-GGA | relaxed; energy above the most stable polymorph in this dataset = 0 meV/atom; DOS at the Fermi energy = 7.46 states/eV/f.u.; formation energy = 1.318 eV per atom; E = -11.4 eV for the cell shown
1.0
-3.9334 -4.0485 -0.2330
3.5283 -3.2567 -2.9768
1.9989 -2.2181 4.7959
Os Na Ag
1 3 1
direct
0.0000 0.0000 0.0000
0.5000 0.0000 0.0000
0.0000 0.0000 0.5000
0.0000 0.5000 0.0000
0.5000 0.5000 0.5000

---

(7)
MnGaSiRhSe | Alexandria via LeMat-Bulk | PBE-GGA | relaxed; energy above the most stable polymorph in this dataset = 102 meV/atom; DOS at the Fermi energy = 3.10 states/eV/f.u.; uncorrected formation energy = -176 meV per atom; E = -29.3 eV for the cell shown
1.0
3.1915 0.4924 -0.2453
2.4584 5.2822 -0.3068
0.0184 2.5237 5.1743
Si Mn Se Ga Rh
1 1 1 1 1
direct
0.1540 0.9638 0.1711
0.9281 0.1874 0.7243
0.2545 0.3618 0.3751
0.5201 0.5962 0.9067
0.8236 0.7939 0.5106

---

(8)
VBAs2 | Alexandria via LeMat-Bulk | PBE-GGA | relaxed; DOS at the Fermi energy = 3.12 states/eV/f.u.; formation energy = 0.242 eV per atom; E = -48.3 eV for the cell shown
1.0
-3.6417 -3.6252 2.3271
4.3036 -3.1964 1.7553
0.4801 -1.1352 5.8196
As V B
4 2 2
direct
0.3750 0.4346 0.7500
0.8750 0.8154 0.7500
0.1846 0.6250 0.2500
0.5654 0.1250 0.2500
0.0000 0.0000 0.0000
0.7500 0.2500 0.5000
0.2500 0.7500 0.5000
0.5000 0.5000 0.0000